# 1
## AlFeIr2 (meta-GGA SCAN)

Data for AlFeIr2 at its PBEsol-relaxed geometry.

a b c (Å): 2.753 2.753 8.344
angles (deg): 80.51 80.51 60.00
Each line ends with the local moment (μB).
Element x y z (fractional)
1 Ir 0.250 0.250 0.251  0.16
2 Fe 0.000 0.000 0.000  3.09
3 Al 0.500 0.500 0.500  -0.02
4 Ir 0.750 0.750 0.749  0.16

The space-group type is R-3m (166). The total magnetization is 3.33 Bohr magnetons per cell. Its energy of formation from the pure elements is -0.476 eV/atom. The volume is 13.44 Å³ per atom.

---

# 2
## K2SrCrMo (meta-GGA SCAN)

Data for K2SrCrMo at its PBEsol-relaxed geometry.

a b c (Å): 4.506 6.470 6.470
angles (deg): 90.00 90.00 90.00
Each line ends with the local moment (μB).
Element x y z (fractional)
1 Mo 0.000 0.000 0.000  -2.68
2 K 0.000 0.500 0.000  -0.02
3 Sr 0.500 0.500 0.500  0.03
4 Cr 0.500 0.000 0.000  3.24
5 K 0.000 0.000 0.500  -0.02

The space-group type is P4/mmm (123). The total magnetization is 0.80 Bohr magnetons per cell. Its energy of formation from the pure elements is 1.077 eV/atom. The volume is 37.73 Å³ per atom.

---

# 3
## LaZrTl2 (meta-GGA SCAN)

Data for LaZrTl2 at its PBEsol-relaxed geometry.

a b c (Å): 3.249 5.603 5.603
angles (deg): 90.00 90.00 90.00
Element x y z (fractional)
1 La 0.381 0.500 0.875
2 Tl 0.878 0.500 0.375
3 Tl 0.877 0.000 0.874
4 Zr 0.364 0.000 0.375

The space-group type is Pm (6). The total magnetization is 0.00 Bohr magnetons per cell. Its energy of formation from the pure elements is -0.263 eV/atom. The volume is 25.50 Å³ per atom.

---

# 4
## ZnCoAg2 (meta-GGA SCAN)

Data for ZnCoAg2 at its PBEsol-relaxed geometry.

a b c (Å): 2.688 4.760 4.760
angles (deg): 110.61 90.00 90.00
Each line ends with the local moment (μB).
Element x y z (fractional)
1 Ag 0.000 0.500 0.000  0.00
2 Ag 0.000 0.000 0.500  0.00
3 Zn 0.500 0.500 0.500  0.00
4 Co 0.500 0.000 0.000  1.85

The space-group type is Cmmm (65). The total magnetization is 1.84 Bohr magnetons per cell. Its energy of formation from the pure elements is 0.180 eV/atom. The volume is 14.25 Å³ per atom.